Below is a geometry-optimized RuBrF3 structure, with properties calculated at the PBE level.

total DFT energy (no corrections): -92.5 eV for the cell shown
theoretical density: 4.1 g/cm³

```
data_RuBrF3
_space_group_name_H-M_alt 'C 1 2/m 1'
_space_group_IT_number 12
_cell_length_a 7.3549
_cell_length_b 7.5254
_cell_length_c 6.8843
_cell_angle_alpha 90.00
_cell_angle_beta 90.90
_cell_angle_gamma 90.00
loop_
_space_group_symop_operation_xyz
'x,y,z'
'-x,-y,-z'
'-x,y,-z'
'x,-y,z'
'x+1/2,y+1/2,z'
'-x+1/2,-y+1/2,-z'
'-x+1/2,y+1/2,-z'
'x+1/2,-y+1/2,z'
loop_
_atom_site_label
_atom_site_fract_x
_atom_site_fract_y
_atom_site_fract_z
Ru1 0.9998 0.0000 0.2329
Br1 0.0000 0.2197 0.5000
F1 0.0000 0.1737 0.0000
F2 0.2440 0.5000 0.2228
F3 0.2443 0.5000 0.7693
```



Below is a geometry-optimized RuBr2F structure, with properties calculated at the PBE level.

total DFT energy (no corrections): -57.1 eV for the cell shown
theoretical density: 7.4 g/cm³

```
data_RuBr2F
_space_group_name_H-M_alt 'F m -3 m'
_space_group_IT_number 225
_space_group_name_Hall '-F 4 2 3'
_cell_length_a 6.3053
_cell_length_b 6.3053
_cell_length_c 6.3053
_cell_angle_alpha 90.00
_cell_angle_beta 90.00
_cell_angle_gamma 90.00
loop_
_atom_site_label
_atom_site_fract_x
_atom_site_fract_y
_atom_site_fract_z
Ru1 0.0000 0.0000 0.0000
Br1 0.2500 0.2500 0.2500
F1 0.0000 0.0000 0.5000
```



Below is a geometry-optimized RuBr2F structure, with properties calculated at the PBE level.

total DFT energy (no corrections): -58.5 eV for the cell shown
theoretical density: 5.1 g/cm³

```
data_RuBr2F
_space_group_name_H-M_alt 'I -4 2 d'
_space_group_IT_number 122
_space_group_name_Hall 'I -4 2bw'
_cell_length_a 6.5872
_cell_length_b 6.5872
_cell_length_c 8.3506
_cell_angle_alpha 90.00
_cell_angle_beta 90.00
_cell_angle_gamma 90.00
loop_
_atom_site_label
_atom_site_fract_x
_atom_site_fract_y
_atom_site_fract_z
Ru1 0.0000 0.0000 0.0000
Br1 0.2077 0.2500 0.1250
F1 0.0000 0.0000 0.5000
```



Below is a geometry-optimized RuBr3F structure, with properties calculated at the PBE level.

total DFT energy (no corrections): -15.6 eV for the cell shown
theoretical density: 4.7 g/cm³

```
data_RuBr3F
_space_group_name_H-M_alt 'P m -3 m'
_space_group_IT_number 221
_space_group_name_Hall '-P 4 2 3'
_cell_length_a 5.0165
_cell_length_b 5.0165
_cell_length_c 5.0165
_cell_angle_alpha 90.00
_cell_angle_beta 90.00
_cell_angle_gamma 90.00
loop_
_atom_site_label
_atom_site_fract_x
_atom_site_fract_y
_atom_site_fract_z
Ru1 0.0000 0.0000 0.0000
Br1 0.0000 0.0000 0.5000
F1 0.5000 0.5000 0.5000
```



Below is a geometry-optimized RuBrF3 structure, with properties calculated at the PBE level.

total DFT energy (no corrections): -20.1 eV for the cell shown
theoretical density: 5.4 g/cm³

```
data_RuBrF3
_space_group_name_H-M_alt 'P m -3 m'
_space_group_IT_number 221
_space_group_name_Hall '-P 4 2 3'
_cell_length_a 4.1938
_cell_length_b 4.1938
_cell_length_c 4.1938
_cell_angle_alpha 90.00
_cell_angle_beta 90.00
_cell_angle_gamma 90.00
loop_
_atom_site_label
_atom_site_fract_x
_atom_site_fract_y
_atom_site_fract_z
Ru1 0.0000 0.0000 0.0000
Br1 0.5000 0.5000 0.5000
F1 0.0000 0.0000 0.5000
```



Below is a geometry-optimized Ru3BrF structure, with properties calculated at the PBE level.

total DFT energy (no corrections): -24.7 eV for the cell shown
theoretical density: 7.5 g/cm³

```
data_Ru3BrF
_space_group_name_H-M_alt 'P m -3 m'
_space_group_IT_number 221
_space_group_name_Hall '-P 4 2 3'
_cell_length_a 4.4748
_cell_length_b 4.4748
_cell_length_c 4.4748
_cell_angle_alpha 90.00
_cell_angle_beta 90.00
_cell_angle_gamma 90.00
loop_
_atom_site_label
_atom_site_fract_x
_atom_site_fract_y
_atom_site_fract_z
Ru1 0.0000 0.0000 0.5000
Br1 0.5000 0.5000 0.5000
F1 0.0000 0.0000 0.0000
```



Below is a geometry-optimized RuBr2F structure, with properties calculated at the PBE level.

total DFT energy (no corrections): -45.6 eV for the cell shown
theoretical density: 5.2 g/cm³

```
data_RuBr2F
_space_group_name_H-M_alt 'R -3 m'
_space_group_IT_number 166
_space_group_name_Hall '-R 3 2"'
_cell_length_a 3.7484
_cell_length_b 3.7484
_cell_length_c 22.0409
_cell_angle_alpha 90.00
_cell_angle_beta 90.00
_cell_angle_gamma 120.00
loop_
_atom_site_label
_atom_site_fract_x
_atom_site_fract_y
_atom_site_fract_z
Ru1 0.0000 0.0000 0.0000
Br1 0.0000 0.0000 0.3936
F1 0.0000 0.0000 0.5000
```



Below is a geometry-optimized RuBr3F structure, with properties calculated at the PBE level.

total DFT energy (no corrections): -75.5 eV for the cell shown
theoretical density: 3.6 g/cm³

```
data_RuBr3F
_space_group_name_H-M_alt 'P 1 2/c 1'
_space_group_IT_number 13
_cell_length_a 6.9802
_cell_length_b 8.5349
_cell_length_c 11.1976
_cell_angle_alpha 90.00
_cell_angle_beta 92.04
_cell_angle_gamma 90.00
loop_
_space_group_symop_operation_xyz
'x,y,z'
'-x,-y,-z'
'-x,y,-z+1/2'
'x,-y,z+1/2'
loop_
_atom_site_label
_atom_site_fract_x
_atom_site_fract_y
_atom_site_fract_z
Ru1 0.0739 0.1555 0.1091
Br1 0.0104 0.4394 0.1225
Br2 0.0936 0.1399 0.5879
Br3 0.3853 0.1891 0.0353
F1 0.1725 0.1335 0.2880
```



Please write out number 2 again, unchanged.
Below is a geometry-optimized RuBr2F structure, with properties calculated at the PBE level.

total DFT energy (no corrections): -57.1 eV for the cell shown
theoretical density: 7.4 g/cm³

```
data_RuBr2F
_space_group_name_H-M_alt 'F m -3 m'
_space_group_IT_number 225
_space_group_name_Hall '-F 4 2 3'
_cell_length_a 6.3053
_cell_length_b 6.3053
_cell_length_c 6.3053
_cell_angle_alpha 90.00
_cell_angle_beta 90.00
_cell_angle_gamma 90.00
loop_
_atom_site_label
_atom_site_fract_x
_atom_site_fract_y
_atom_site_fract_z
Ru1 0.0000 0.0000 0.0000
Br1 0.2500 0.2500 0.2500
F1 0.0000 0.0000 0.5000
```



Please write out number 1 again, unchanged.
Below is a geometry-optimized RuBrF3 structure, with properties calculated at the PBE level.

total DFT energy (no corrections): -92.5 eV for the cell shown
theoretical density: 4.1 g/cm³

```
data_RuBrF3
_space_group_name_H-M_alt 'C 1 2/m 1'
_space_group_IT_number 12
_cell_length_a 7.3549
_cell_length_b 7.5254
_cell_length_c 6.8843
_cell_angle_alpha 90.00
_cell_angle_beta 90.90
_cell_angle_gamma 90.00
loop_
_space_group_symop_operation_xyz
'x,y,z'
'-x,-y,-z'
'-x,y,-z'
'x,-y,z'
'x+1/2,y+1/2,z'
'-x+1/2,-y+1/2,-z'
'-x+1/2,y+1/2,-z'
'x+1/2,-y+1/2,z'
loop_
_atom_site_label
_atom_site_fract_x
_atom_site_fract_y
_atom_site_fract_z
Ru1 0.9998 0.0000 0.2329
Br1 0.0000 0.2197 0.5000
F1 0.0000 0.1737 0.0000
F2 0.2440 0.5000 0.2228
F3 0.2443 0.5000 0.7693
```